Density functional theory data (PBE-GGA) for an optimized crystal structure of AlReP2.

Computed properties:
Energy of formation from the pure elements ... 4.50 kcal/mol of atoms
N(E_F) ... 0.646 states/eV per atom

Cell and atoms, written as CIF:
```
data_AlReP2
_chemical_formula_sum 'Al1 Re1 P2'
_space_group_name_H-M_alt 'P 1'
_space_group_IT_number 1
_space_group_name_Hall 'P 1'
_cell_length_a 4.258
_cell_length_b 4.258
_cell_length_c 3.098
_cell_angle_alpha 90.00
_cell_angle_beta 90.00
_cell_angle_gamma 102.45
loop_
_atom_site_label
_atom_site_type_symbol
_atom_site_fract_x
_atom_site_fract_y
_atom_site_fract_z
Al1 Al 0.000 0.000 0.000
Re1 Re 0.500 0.500 0.000
P1 P 0.000 0.500 0.500
P2 P 0.500 0.000 0.500
```

=====

Density functional theory data (PBE-GGA) for an optimized crystal structure of AlRe2P.

Computed properties:
E above lowest polymorph ... 0.694 eV per formula unit
Energy of formation from the pure elements ... -0.35 kcal/mol of atoms
N(E_F) ... 0.526 states/eV per atom

Cell and atoms, written as CIF:
```
data_AlRe2P
_chemical_formula_sum 'Al1 Re2 P1'
_space_group_name_H-M_alt 'P 1'
_space_group_IT_number 1
_space_group_name_Hall 'P 1'
_cell_length_a 2.925
_cell_length_b 3.657
_cell_length_c 5.510
_cell_angle_alpha 90.00
_cell_angle_beta 102.57
_cell_angle_gamma 90.00
loop_
_atom_site_label
_atom_site_type_symbol
_atom_site_fract_x
_atom_site_fract_y
_atom_site_fract_z
Al1 Al 0.000 0.000 0.000
Re1 Re 0.354 0.500 0.727
Re2 Re 0.646 0.500 0.273
P1 P 0.000 0.000 0.500
```